First-principles (GGA-PBE) data for crystalline RbScPO2 at its relaxed geometry, as listed in Alexandria via LeMat-Bulk.

Values from the calculation:
As for the uncorrected formation energy: -1.069 eV per atom. The calculation puts the calculated volume at 19.77 A^3/atom. Its total energy is -5.594 eV per atom.

Unit cell a=4.3076 b=4.3076 c=5.3280 alpha=90.00 beta=90.00 gamma=90.00
Sites, in units of the cell vectors:
Rb 0.0000 0.0000 0.0000
Sc 0.5000 0.5000 0.5000
P 0.5000 0.5000 0.0000
O 0.0000 0.5000 0.5000
O 0.5000 0.0000 0.5000